Record 1
The following is a DFT calculation (PBE) of an optimized crystal structure of PaZn2PO8.

Geometry as POSCAR:
```
PaZn2PO8
1.0
3.1950 -3.2838 0.0000
3.1950 3.2838 0.0000
0.0000 0.0000 6.4777
Pa Zn P O
1 2 1 8
Direct
0.0000 0.0000 0.0000
0.5000 0.5000 0.2727
0.5000 0.5000 0.7273
0.0000 0.0000 0.5000
0.1831 0.1831 0.3064
0.1831 0.1831 0.6936
0.2564 0.7436 0.5000
0.3075 0.6925 0.0000
0.6925 0.3075 0.0000
0.7436 0.2564 0.5000
0.8169 0.8169 0.3064
0.8169 0.8169 0.6936
```

## Properties
Raw total energy = -6.61 eV/atom
Formation energy (no corrections) = -1.850 eV per atom
V = 11.327 A^3/atom
Theoretical density = 6.4 g/cm3

Record 2
The following is a DFT calculation (PBE) of an optimized crystal structure of ZrTaMnI2.

Geometry as POSCAR:
```
ZrTaMnI2
1.0
5.0643 0.0000 0.0000
0.0000 5.0643 0.0000
0.0000 0.0000 4.7156
Zr Ta Mn I
1 1 1 2
Direct
0.0000 0.0000 0.0000
0.5000 0.5000 0.0000
0.5000 0.5000 0.5000
0.0000 0.5000 0.5000
0.5000 0.0000 0.5000
```

## Properties
Raw total energy = -5.42 eV/atom
Formation energy (no corrections) = 1.111 eV per atom
V = 24.188 A^3/atom
Theoretical density = 8.0 g/cm3

Record 3
The following is a DFT calculation (PBE) of an optimized crystal structure of NaLiBi3.

Geometry as POSCAR:
```
NaLiBi3
1.0
7.1302 0.0000 0.0000
3.5643 6.1848 0.0000
0.0005 4.0974 7.3558
Na Li Bi
2 2 6
Direct
0.0000 0.0000 0.0000
0.2330 0.5337 0.7050
0.4442 0.1108 0.3378
0.5979 0.8027 0.7947
0.0091 0.4410 0.1089
0.1430 0.1551 0.5513
0.5484 0.9028 0.1082
0.5492 0.4407 0.1090
0.7010 0.1549 0.5516
0.7009 0.5972 0.5479
```

## Properties
Raw total energy = -3.12 eV/atom
V = 32.438 A^3/atom
ΔE_f = -0.14 eV per atom
Theoretical density = 6.7 g/cm3

Record 4
The following is a DFT calculation (PBE) of an optimized crystal structure of CdFe2W.

Geometry as POSCAR:
```
CdFe2W
1.0
3.0066 0.0000 0.0000
0.0000 3.0066 0.0000
0.0000 0.0000 6.3187
Cd Fe W
1 2 1
Direct
0.0000 0.0000 0.0000
0.5000 0.5000 0.2865
0.5000 0.5000 0.7135
0.0000 0.0000 0.5000
```

## Properties
Raw total energy = -7.44 eV/atom
V = 14.280 A^3/atom
ΔE_f = 0.26 eV per atom
Theoretical density = 11.9 g/cm3

Record 5
The following is a DFT calculation (PBE) of an optimized crystal structure of KSc2Pt.

Geometry as POSCAR:
```
KSc2Pt
1.0
3.1726 -5.0816 0.0000
3.1726 5.0816 0.0000
-1.2851 0.0000 2.8064
K Sc Pt
1 2 1
Direct
0.0000 0.0000 0.0000
0.0000 0.5000 0.5000
0.5000 0.0000 0.5000
0.5000 0.5000 0.0000
```

## Properties
Raw total energy = -4.72 eV/atom
V = 22.622 A^3/atom
ΔE_f = 0.23 eV per atom
Theoretical density = 5.9 g/cm3

Record 6
The following is a DFT calculation (PBE) of an optimized crystal structure of Cs3PrY2Se6.

Geometry as POSCAR:
```
Cs3PrY2Se6
1.0
3.7462 -6.4876 0.0000
3.7462 6.4876 0.0000
-2.5007 0.0000 8.3892
Cs Pr Y Se
3 1 2 6
Direct
0.0000 0.0000 0.0000
0.3353 0.6647 0.0000
0.6647 0.3353 0.0000
0.5000 0.5000 0.5000
0.1668 0.8332 0.5000
0.8332 0.1668 0.5000
0.0947 0.4373 0.3119
0.2199 0.2199 0.6872
0.4373 0.0947 0.3119
0.5627 0.9053 0.6881
0.7801 0.7801 0.3128
0.9053 0.5627 0.6881
```

## Properties
Raw total energy = -5.16 eV/atom
Formation energy (no corrections) = -1.731 eV per atom
V = 33.982 A^3/atom
Theoretical density = 4.9 g/cm3

Record 7
The following is a DFT calculation (PBE) of an optimized crystal structure of LiCS3.

Geometry as POSCAR:
```
LiCS3
1.0
4.1784 0.0000 0.0000
0.0000 4.1784 0.0000
0.0000 0.0000 4.1784
Li C S
1 1 3
Direct
0.0000 0.0000 0.0000
0.5000 0.5000 0.5000
0.0000 0.5000 0.5000
0.5000 0.0000 0.5000
0.5000 0.5000 0.0000
```

## Properties
Raw total energy = -3.86 eV/atom
Formation energy (no corrections) = 0.842 eV per atom
V = 14.591 A^3/atom
Theoretical density = 2.6 g/cm3

Record 8
The following is a DFT calculation (PBE) of an optimized crystal structure of ErLuInGa.

Geometry as POSCAR:
```
ErLuInGa
1.0
0.0000 3.6261 3.6261
3.6261 0.0000 3.6261
3.6261 3.6261 0.0000
Er Lu In Ga
1 1 1 1
Direct
0.0000 0.0000 0.0000
0.5000 0.5000 0.5000
0.2500 0.2500 0.2500
0.7500 0.7500 0.7500
```

## Properties
Raw total energy = -4.18 eV/atom
V = 23.840 A^3/atom
ΔE_f = -0.46 eV per atom
Theoretical density = 9.2 g/cm3

Record 9
The following is a DFT calculation (PBE) of an optimized crystal structure of Sr2CuBS.

Geometry as POSCAR:
```
Sr2CuBS
1.0
5.4733 0.0000 0.0000
0.0000 5.4733 0.0000
0.0000 0.0000 3.8797
Sr Cu B S
2 1 1 1
Direct
0.0000 0.5000 0.0000
0.5000 0.0000 0.0000
0.0000 0.0000 0.5000
0.0000 0.0000 0.0000
0.5000 0.5000 0.5000
```

## Properties
Raw total energy = -4.12 eV/atom
Formation energy (no corrections) = -0.470 eV per atom
V = 23.245 A^3/atom
Theoretical density = 4.0 g/cm3

Record 10
The following is a DFT calculation (PBE) of an optimized crystal structure of CsHg12Pd6.

Geometry as POSCAR:
```
CsHg12Pd6
1.0
6.3760 3.6812 3.2297
-6.3760 3.6812 3.2297
0.0000 -7.3624 3.2297
Cs Hg Pd
1 12 6
Direct
0.0000 0.0000 0.0000
0.1203 0.5000 0.8797
0.1203 0.8797 0.5000
0.1457 0.4143 0.4143
0.4143 0.1457 0.4143
0.4143 0.4143 0.1457
0.5000 0.1203 0.8797
0.5000 0.8797 0.1203
0.5857 0.5857 0.8543
0.5857 0.8543 0.5857
0.8543 0.5857 0.5857
0.8797 0.1203 0.5000
0.8797 0.5000 0.1203
0.2666 0.2666 0.6790
0.2666 0.6790 0.2666
0.3210 0.7334 0.7334
0.6790 0.2666 0.2666
0.7334 0.3210 0.7334
0.7334 0.7334 0.3210
```

## Properties
Raw total energy = -1.96 eV/atom
V = 23.938 A^3/atom
ΔE_f = -0.08 eV per atom
Theoretical density = 11.6 g/cm3

Record 11
The following is a DFT calculation (PBE) of an optimized crystal structure of Tb5Dy2ErTh.

Geometry as POSCAR:
```
Tb5Dy2ErTh
1.0
2.8512 -10.7756 0.0000
2.8512 10.7756 0.0000
0.0000 0.0000 9.6847
Tb Dy Er Th
10 4 2 2
Direct
0.0146 0.9854 0.5000
0.2716 0.7284 0.8067
0.3039 0.6961 0.2003
0.3983 0.6017 0.5259
0.4690 0.5310 0.2270
0.5310 0.4690 0.7270
0.6017 0.3983 0.0259
0.6961 0.3039 0.7003
0.7284 0.2716 0.3067
0.9854 0.0146 0.0000
0.1158 0.8842 0.8125
0.1290 0.8710 0.1947
0.8710 0.1290 0.6947
0.8842 0.1158 0.3125
0.1891 0.8109 0.5001
0.8109 0.1891 0.0001
0.4046 0.5954 0.9069
0.5954 0.4046 0.4069
```

## Properties
Raw total energy = -4.77 eV/atom
V = 33.061 A^3/atom
ΔE_f = 0.16 eV per atom
Theoretical density = 8.5 g/cm3

Record 12
The following is a DFT calculation (PBE) of an optimized crystal structure of FeHgRh3.

Geometry as POSCAR:
```
FeHgRh3
1.0
4.5147 0.0000 0.0000
0.0000 4.5147 0.0000
0.0000 0.0000 4.5147
Fe Hg Rh
1 1 3
Direct
0.0000 0.0000 0.0000
0.5000 0.5000 0.5000
0.0000 0.0000 0.5000
0.0000 0.5000 0.0000
0.5000 0.0000 0.0000
```

## Properties
Raw total energy = -5.29 eV/atom
V = 18.404 A^3/atom
ΔE_f = 0.87 eV per atom
Theoretical density = 10.2 g/cm3

Question: Among the records above, which one has the lowest theoretical density?
Answer: LiCS3

Question: Look up the raw total energy of the eleventh one.
Answer: -4.77 eV/atom